# Zn3Pb PBE optimized geometry
data_Zn3Pb
_chemical_formula_sum 'Zn3 Pb1'
_symmetry_space_group_name_H-M 'P 1'
_symmetry_Int_Tables_number 1
_symmetry_space_group_name_Hall 'P 1'
_cell_length_a 5.2367
_cell_length_b 5.2367
_cell_length_c 5.2367
_cell_angle_alpha 114.20
_cell_angle_beta 114.20
_cell_angle_gamma 114.20
loop_
_atom_site_label
_atom_site_fract_x
_atom_site_fract_y
_atom_site_fract_z
Zn1 0.0000 0.5000 0.5000
Zn2 0.5000 0.0000 0.5000
Zn3 0.5000 0.5000 0.0000
Pb1 0.0000 0.0000 0.0000
# **V**: 85.96 Å³ per cell
# **Calculated total energy**: -1.645 eV/atom
# **Total magnetization**: 0.00 μB per formula unit